# 1
Computed, not measured: crystalline AcLaCdIn at its relaxed geometry at the PBE level of DFT. Values from VASP.

Values from the calculation:
N(E_F) = 1.336 states/eV/atom
total DFT energy (no corrections) = -3.561 eV per atom
calculated formation energy = -1.56 eV per formula unit
volume = 130.3 Å³ per cell

```
&SYSTEM
  ibrav = 0, nat = 4, ntyp = 4
/
ATOMIC_SPECIES
Ac 227.00 Ac.upf
La 138.91 La.upf
Cd 112.41 Cd.upf
In 114.82 In.upf
CELL_PARAMETERS angstrom
0.000 4.024 4.024
4.024 0.000 4.024
4.024 4.024 0.000
ATOMIC_POSITIONS crystal
Ac 0.000 0.000 0.000
La 0.500 0.500 0.500
Cd 0.750 0.750 0.750
In 0.250 0.250 0.250
```



# 2
Computed, not measured: crystalline Ag2PtPb at its relaxed geometry at the PBE level of DFT. Values from VASP.

Values from the calculation:
N(E_F) = 0.771 states/eV/atom
total DFT energy (no corrections) = -3.666 eV per atom
calculated formation energy = 0.79 eV per formula unit
volume = 80.9 Å³ per cell

```
&SYSTEM
  ibrav = 0, nat = 4, ntyp = 3
/
ATOMIC_SPECIES
Ag 107.87 Ag.upf
Pt 195.08 Pt.upf
Pb 207.20 Pb.upf
CELL_PARAMETERS angstrom
1.552 0.896 9.693
-1.552 0.896 9.693
0.000 -1.792 9.693
ATOMIC_POSITIONS crystal
Ag 0.242 0.242 0.242
Ag 0.758 0.758 0.758
Pt 0.500 0.500 0.500
Pb 0.000 0.000 0.000
```



# 3
Computed, not measured: crystalline Pr8Y3Er at its relaxed geometry at the PBE level of DFT. Values from VASP.

Values from the calculation:
N(E_F) = 1.528 states/eV/atom
total DFT energy (no corrections) = -5.053 eV per atom
calculated formation energy = 1.55 eV per formula unit
volume = 424.5 Å³ per cell

```
&SYSTEM
  ibrav = 0, nat = 12, ntyp = 3
/
ATOMIC_SPECIES
Pr 140.91 Pr.upf
Y 88.91 Y.upf
Er 167.26 Er.upf
CELL_PARAMETERS angstrom
4.484 -7.674 0.000
4.484 7.674 0.000
-2.226 0.000 6.168
ATOMIC_POSITIONS crystal
Pr 0.036 0.366 0.047
Pr 0.066 0.066 0.284
Pr 0.297 0.482 0.694
Pr 0.487 0.276 0.177
Pr 0.518 0.703 0.306
Pr 0.634 0.964 0.953
Pr 0.724 0.513 0.823
Pr 0.934 0.934 0.716
Y 0.203 0.797 0.000
Y 0.385 0.023 0.578
Y 0.977 0.615 0.422
Er 0.804 0.196 0.500
```



# 4
Computed, not measured: crystalline BeGeTe2 at its relaxed geometry at the PBE level of DFT. Values from VASP.

Values from the calculation:
formation energy without anion corrections = 0.150 eV/atom
N(E_F) = 0.000 states/eV/atom
E above lowest polymorph = 0.68 eV per formula unit
total DFT energy (no corrections) = -3.507 eV per atom
volume = 133.9 Å³ per cell

```
&SYSTEM
  ibrav = 0, nat = 4, ntyp = 3
/
ATOMIC_SPECIES
Be 9.01 Be.upf
Ge 72.64 Ge.upf
Te 127.60 Te.upf
CELL_PARAMETERS angstrom
2.272 1.312 7.485
-2.272 1.312 7.485
0.000 -2.623 7.485
ATOMIC_POSITIONS crystal
Be 0.000 0.000 0.000
Ge 0.500 0.500 0.500
Te 0.100 0.100 0.100
Te 0.900 0.900 0.900
```



# 5
Computed, not measured: crystalline NdEr4Ag5 at its relaxed geometry at the PBE level of DFT. Values from VASP.

Values from the calculation:
N(E_F) = 0.457 states/eV/atom
total DFT energy (no corrections) = -4.049 eV per atom
calculated formation energy = -3.22 eV per formula unit
volume = 239.7 Å³ per cell

```
&SYSTEM
  ibrav = 0, nat = 10, ntyp = 3
/
ATOMIC_SPECIES
Nd 144.24 Nd.upf
Er 167.26 Er.upf
Ag 107.87 Ag.upf
CELL_PARAMETERS angstrom
3.597 0.000 0.000
0.000 3.597 0.000
0.000 0.000 18.527
ATOMIC_POSITIONS crystal
Nd 0.000 0.000 0.000
Er 0.000 0.000 0.205
Er 0.000 0.000 0.402
Er 0.000 0.000 0.598
Er 0.000 0.000 0.795
Ag 0.500 0.500 0.112
Ag 0.500 0.500 0.303
Ag 0.500 0.500 0.500
Ag 0.500 0.500 0.697
Ag 0.500 0.500 0.888
```



# 6
Computed, not measured: crystalline ZnInSe2 at its relaxed geometry at the PBE level of DFT. Values from VASP.

Values from the calculation:
formation energy without anion corrections = -0.401 eV/atom
N(E_F) = 0.337 states/eV/atom
total DFT energy (no corrections) = -3.146 eV per atom
volume = 95.1 Å³ per cell

```
&SYSTEM
  ibrav = 0, nat = 4, ntyp = 3
/
ATOMIC_SPECIES
Zn 65.41 Zn.upf
In 114.82 In.upf
Se 78.96 Se.upf
CELL_PARAMETERS angstrom
3.864 0.000 0.000
0.000 3.864 0.000
0.000 0.000 6.371
ATOMIC_POSITIONS crystal
Zn 0.000 0.000 0.000
In 0.500 0.500 0.492
Se 0.000 0.000 0.591
Se 0.500 0.500 0.065
```



# 7
Computed, not measured: crystalline LiRuRh2 at its relaxed geometry at the PBE level of DFT. Values from VASP.

Values from the calculation:
N(E_F) = 1.359 states/eV/atom
E above lowest polymorph = 0.61 eV per formula unit
total DFT energy (no corrections) = -6.334 eV per atom
calculated formation energy = 0.56 eV per formula unit
volume = 56.3 Å³ per cell

```
&SYSTEM
  ibrav = 0, nat = 4, ntyp = 3
/
ATOMIC_SPECIES
Li 6.94 Li.upf
Ru 101.07 Ru.upf
Rh 102.91 Rh.upf
CELL_PARAMETERS angstrom
1.372 -2.297 0.000
1.372 2.297 0.000
0.000 0.000 8.929
ATOMIC_POSITIONS crystal
Li 0.000 0.000 0.000
Ru 0.000 0.000 0.500
Rh 0.500 0.500 0.247
Rh 0.500 0.500 0.753
```



# 8
Computed, not measured: crystalline RbYPt3 at its relaxed geometry at the PBE level of DFT. Values from VASP.

Values from the calculation:
N(E_F) = 1.195 states/eV/atom
E above lowest polymorph = 0.00 eV per formula unit
total DFT energy (no corrections) = -4.743 eV per atom
calculated formation energy = 1.84 eV per formula unit
volume = 151.0 Å³ per cell

```
&SYSTEM
  ibrav = 0, nat = 5, ntyp = 3
/
ATOMIC_SPECIES
Rb 85.47 Rb.upf
Y 88.91 Y.upf
Pt 195.08 Pt.upf
CELL_PARAMETERS angstrom
5.325 0.000 0.000
0.000 5.325 0.000
0.000 0.000 5.325
ATOMIC_POSITIONS crystal
Rb 0.000 0.000 0.000
Y 0.500 0.500 0.500
Pt 0.000 0.500 0.500
Pt 0.500 0.000 0.500
Pt 0.500 0.500 0.000
```



# 9
Computed, not measured: crystalline CdAg3Au at its relaxed geometry at the PBE level of DFT. Values from VASP.

Values from the calculation:
N(E_F) = 0.228 states/eV/atom
E above lowest polymorph = 0.36 eV per formula unit
total DFT energy (no corrections) = -2.541 eV per atom
calculated formation energy = 0.04 eV per formula unit
volume = 393.0 Å³ per cell

```
&SYSTEM
  ibrav = 0, nat = 20, ntyp = 3
/
ATOMIC_SPECIES
Cd 112.41 Cd.upf
Ag 107.87 Ag.upf
Au 196.97 Au.upf
CELL_PARAMETERS angstrom
7.693 0.000 0.000
0.000 6.224 0.000
0.000 0.000 8.209
ATOMIC_POSITIONS crystal
Cd 0.000 0.000 0.000
Cd 0.000 0.500 0.000
Cd 0.500 0.000 0.500
Cd 0.500 0.500 0.500
Ag 0.102 0.007 0.349
Ag 0.102 0.493 0.349
Ag 0.205 0.250 0.633
Ag 0.295 0.750 0.133
Ag 0.398 0.507 0.849
Ag 0.398 0.993 0.849
Ag 0.602 0.007 0.151
Ag 0.602 0.493 0.151
Ag 0.705 0.250 0.867
Ag 0.795 0.750 0.367
Ag 0.898 0.507 0.651
Ag 0.898 0.993 0.651
Au 0.213 0.750 0.618
Au 0.287 0.250 0.118
Au 0.713 0.750 0.882
Au 0.787 0.250 0.382
```



# 10
Computed, not measured: crystalline Mg2Cd8Au at its relaxed geometry at the PBE level of DFT. Values from VASP.

Values from the calculation:
N(E_F) = 0.207 states/eV/atom
total DFT energy (no corrections) = -1.268 eV per atom
calculated formation energy = -0.16 eV per formula unit
volume = 269.8 Å³ per cell

```
&SYSTEM
  ibrav = 0, nat = 11, ntyp = 3
/
ATOMIC_SPECIES
Mg 24.30 Mg.upf
Cd 112.41 Cd.upf
Au 196.97 Au.upf
CELL_PARAMETERS angstrom
5.725 -4.946 0.000
5.725 4.946 0.000
-1.539 0.000 4.764
ATOMIC_POSITIONS crystal
Mg 0.137 0.137 0.052
Mg 0.863 0.863 0.948
Cd 0.141 0.645 0.607
Cd 0.272 0.272 0.644
Cd 0.355 0.859 0.393
Cd 0.420 0.420 0.209
Cd 0.580 0.580 0.791
Cd 0.645 0.141 0.607
Cd 0.728 0.728 0.356
Cd 0.859 0.355 0.393
Au 0.000 0.000 0.500
```



# 11
Computed, not measured: crystalline Tb2Ni2Rh at its relaxed geometry at the PBE level of DFT. Values from VASP.

Values from the calculation:
N(E_F) = 0.763 states/eV/atom
E above lowest polymorph = 0.31 eV per formula unit
total DFT energy (no corrections) = -6.117 eV per atom
calculated formation energy = -2.41 eV per formula unit
volume = 182.8 Å³ per cell

```
&SYSTEM
  ibrav = 0, nat = 10, ntyp = 3
/
ATOMIC_SPECIES
Tb 158.93 Tb.upf
Ni 58.69 Ni.upf
Rh 102.91 Rh.upf
CELL_PARAMETERS angstrom
6.886 0.000 0.000
0.000 6.886 0.000
0.000 0.000 3.855
ATOMIC_POSITIONS crystal
Tb 0.185 0.315 0.000
Tb 0.315 0.815 0.000
Tb 0.685 0.185 0.000
Tb 0.815 0.685 0.000
Ni 0.120 0.620 0.500
Ni 0.380 0.120 0.500
Ni 0.620 0.880 0.500
Ni 0.880 0.380 0.500
Rh 0.000 0.000 0.500
Rh 0.500 0.500 0.500
```



# 12
Computed, not measured: crystalline PmNiHgAu at its relaxed geometry at the PBE level of DFT. Values from VASP.

Values from the calculation:
N(E_F) = 0.710 states/eV/atom
total DFT energy (no corrections) = -3.842 eV per atom
calculated formation energy = -1.26 eV per formula unit
volume = 82.2 Å³ per cell

```
&SYSTEM
  ibrav = 0, nat = 4, ntyp = 4
/
ATOMIC_SPECIES
Pm 145.00 Pm.upf
Ni 58.69 Ni.upf
Hg 200.59 Hg.upf
Au 196.97 Au.upf
CELL_PARAMETERS angstrom
0.000 3.450 3.450
3.450 0.000 3.450
3.450 3.450 0.000
ATOMIC_POSITIONS crystal
Pm 0.000 0.000 0.000
Ni 0.750 0.750 0.750
Hg 0.500 0.500 0.500
Au 0.250 0.250 0.250
```